*A*
Material: CaAg2Ru
Method: DFT, PBE-GGA
State: relaxed

Summary:
Symmetry: No. 122
Volume: 332.34 Å³/cell

Cell lengths 4.0526, 4.0526, 20.2359 Å; angles 90.00, 90.00, 90.00 degrees
Positions (direct):
Ca (0.0000, 0.0000, 0.0000)
Ca (0.0000, 0.5000, 0.2500)
Ca (0.5000, 0.0000, 0.7500)
Ca (0.5000, 0.5000, 0.5000)
Ag (0.2303, 0.2500, 0.6250)
Ag (0.2500, 0.7303, 0.8750)
Ag (0.2500, 0.7697, 0.3750)
Ag (0.2697, 0.2500, 0.1250)
Ag (0.7303, 0.7500, 0.1250)
Ag (0.7500, 0.2303, 0.3750)
Ag (0.7500, 0.2697, 0.8750)
Ag (0.7697, 0.7500, 0.6250)
Ru (0.0000, 0.0000, 0.5000)
Ru (0.0000, 0.5000, 0.7500)
Ru (0.5000, 0.0000, 0.2500)
Ru (0.5000, 0.5000, 0.0000)

***

*B*
Material: CaAg2Ru
Method: DFT, PBE-GGA
State: relaxed

Summary:
Symmetry: No. 71
Volume: 154.53 Å³/cell

Cell lengths 3.0853, 4.8130, 10.4061 Å; angles 90.00, 90.00, 90.00 degrees
Positions (direct):
Ca (0.0000, 0.0000, 0.0000)
Ca (0.5000, 0.5000, 0.5000)
Ag (0.0000, 0.5000, 0.2246)
Ag (0.0000, 0.5000, 0.7754)
Ag (0.5000, 0.0000, 0.2754)
Ag (0.5000, 0.0000, 0.7246)
Ru (0.0000, 0.0000, 0.5000)
Ru (0.5000, 0.5000, 0.0000)

***

The energy of each structure relative to the most stable one, in eV/atom, is as follows: *A* 0.265; *B* 0.000.